Crystalline CeCu2Ge2 at its relaxed geometry, computed with PBEsol.

Unit cell a=4.0969 b=4.0969 c=9.9911 alpha=90.00 beta=90.00 gamma=90.00
Closest atoms and distances in Å follow each position.
Space group I4/mmm (No. 139)
Unique sites:
1 Ce 0.0000 0.0000 0.0000  8 Ge 3.15, 8 Cu 3.23
2 Cu 0.0000 0.5000 0.2500  4 Ge 2.41
3 Ge 0.0000 0.0000 0.3772  4 Cu 2.41, 1 Ge 2.45

Calculated values
Final energy ... -5.54 eV/atom
Total magnetization ... 0.10 μB/atom



Crystalline Ce2CuGe6 at its relaxed geometry, computed with PBEsol.

Unit cell a=4.1004 b=4.0340 c=21.2868 alpha=90.00 beta=90.00 gamma=90.00
Closest atoms and distances in Å follow each position.
Space group Amm2 (No. 38)
Unique sites:
1 Ce 0.0000 0.0000 0.0000  10 Ge 2.99-3.15
2 Ce 0.0000 0.0000 0.3342  10 Ge 3.09-3.35, 4 Cu 3.11
3 Cu 0.5000 0.0000 0.7781  5 Ge 2.33-2.40
4 Ge 0.0000 0.0000 0.6035  1 Ge 2.46
5 Ge 0.0000 0.0000 0.7191  2 Cu 2.40, 1 Ge 2.46
6 Ge 0.5000 0.0000 0.1027  1 Ge 2.46
7 Ge 0.5000 0.0000 0.2184  2 Cu 2.38, 1 Ge 2.46
8 Ge 0.5000 0.0000 0.4585  2 Ge 2.52
9 Ge 0.5000 0.0000 0.8874  1 Cu 2.33, 2 Ge 2.52

Calculated values
Final energy ... -5.69 eV/atom
Total magnetization ... 0.10 μB/atom



Crystalline CeInCu at its relaxed geometry, computed with PBEsol.

Unit cell a=7.1409 b=7.1409 c=4.2860 alpha=90.00 beta=90.00 gamma=120.00
Closest atoms and distances in Å follow each position.
Space group P-62m (No. 189)
Unique sites:
1 Ce 0.0000 0.4217 0.0000  5 Cu 3.01-3.03, 2 In 3.19
2 In 0.0000 0.7532 0.5000  4 Cu 2.74-2.77, 2 In 3.05
3 Cu 0.0000 0.0000 0.0000  6 In 2.77, 3 Ce 3.01
4 Cu 0.3333 0.6667 0.5000  3 In 2.74, 6 Ce 3.03

Calculated values
Final energy ... -4.90 eV/atom
Total magnetization ... 0.23 μB/atom



Q: total magnetization of number 3 (CeInCu)?
A: 0.23 μB/atom